# CrRe2Br | Alexandria | GGA-PBE | relaxed
data_CrRe2Br
_cell_length_a 2.669
_cell_length_b 2.669
_cell_length_c 11.584
_cell_angle_alpha 90.00
_cell_angle_beta 90.00
_cell_angle_gamma 112.06
_symmetry_space_group_name_H-M 'P 1'
_symmetry_Int_Tables_number 1
loop_
_symmetry_equiv_pos_as_xyz
'x,y,z'
loop_
_atom_site_label
_atom_site_type_symbol
_atom_site_fract_x
_atom_site_fract_y
_atom_site_fract_z
_atom_site_occupancy
Br1 Br 0.500 0.500 0.250 1
Cr1 Cr 0.500 0.500 0.750 1
Re1 Re 0.000 0.000 0.923 1
Re2 Re 0.000 0.000 0.577 1
# Crystal system: orthorhombic
# Magnetic moment, μB per formula unit: 0.0
# Raw formation energy, eV per atom: 0.79
# ρ, g/cm3: 11.0
# Energy relative to the lowest polymorph listed for this composition, meV/atom: 217.5

---

# CrReBr2 | Alexandria | GGA-PBE | relaxed
data_CrReBr2
_cell_length_a 4.825
_cell_length_b 4.825
_cell_length_c 4.825
_cell_angle_alpha 60.00
_cell_angle_beta 60.00
_cell_angle_gamma 60.00
_symmetry_space_group_name_H-M 'P 1'
_symmetry_Int_Tables_number 1
loop_
_symmetry_equiv_pos_as_xyz
'x,y,z'
loop_
_atom_site_label
_atom_site_type_symbol
_atom_site_fract_x
_atom_site_fract_y
_atom_site_fract_z
_atom_site_occupancy
Br1 Br 0.000 0.000 0.000 1
Br2 Br 0.250 0.250 0.250 1
Cr1 Cr 0.500 0.500 0.500 1
Re1 Re 0.750 0.750 0.750 1
# Crystal system: cubic
# Magnetic moment, μB per formula unit: 0.3
# Raw formation energy, eV per atom: 1.30
# ρ, g/cm3: 8.3
# Energy relative to the lowest polymorph listed for this composition, meV/atom: 1111.6

---

# CrReBr4 | Alexandria | GGA-PBE | relaxed
data_CrReBr4
_cell_length_a 6.289
_cell_length_b 6.289
_cell_length_c 6.289
_cell_angle_alpha 60.00
_cell_angle_beta 60.00
_cell_angle_gamma 60.00
_symmetry_space_group_name_H-M 'P 1'
_symmetry_Int_Tables_number 1
loop_
_symmetry_equiv_pos_as_xyz
'x,y,z'
loop_
_atom_site_label
_atom_site_type_symbol
_atom_site_fract_x
_atom_site_fract_y
_atom_site_fract_z
_atom_site_occupancy
Cr1 Cr 0.750 0.750 0.750 1
Re1 Re 0.000 0.000 0.000 1
Br1 Br 0.875 0.375 0.375 1
Br2 Br 0.375 0.375 0.875 1
Br3 Br 0.375 0.875 0.375 1
Br4 Br 0.375 0.375 0.375 1
# Crystal system: cubic
# Magnetic moment, μB per formula unit: 2.4
# Raw formation energy, eV per atom: 1.58
# ρ, g/cm3: 5.3

---

# CrRe2Br | Alexandria | GGA-PBE | relaxed
data_CrRe2Br
_cell_length_a 5.504
_cell_length_b 5.504
_cell_length_c 5.504
_cell_angle_alpha 140.90
_cell_angle_beta 140.90
_cell_angle_gamma 56.49
_symmetry_space_group_name_H-M 'P 1'
_symmetry_Int_Tables_number 1
loop_
_symmetry_equiv_pos_as_xyz
'x,y,z'
loop_
_atom_site_label
_atom_site_type_symbol
_atom_site_fract_x
_atom_site_fract_y
_atom_site_fract_z
_atom_site_occupancy
Br1 Br 0.250 0.750 0.500 1
Cr1 Cr 0.750 0.250 0.500 1
Re1 Re 0.000 0.000 0.000 1
Re2 Re 0.500 0.500 0.000 1
# Crystal system: tetragonal
# Magnetic moment, μB per formula unit: 2.6
# Raw formation energy, eV per atom: 1.26
# ρ, g/cm3: 12.7
# Energy relative to the lowest polymorph listed for this composition, meV/atom: 687.1

---

# CrReBr2 | Alexandria | GGA-PBE | relaxed
data_CrReBr2
_cell_length_a 3.128
_cell_length_b 5.839
_cell_length_c 4.387
_cell_angle_alpha 90.00
_cell_angle_beta 90.00
_cell_angle_gamma 90.00
_symmetry_space_group_name_H-M 'P 1'
_symmetry_Int_Tables_number 1
loop_
_symmetry_equiv_pos_as_xyz
'x,y,z'
loop_
_atom_site_label
_atom_site_type_symbol
_atom_site_fract_x
_atom_site_fract_y
_atom_site_fract_z
_atom_site_occupancy
Br1 Br 0.000 0.000 0.000 1
Br2 Br 0.500 0.500 0.000 1
Cr1 Cr 0.500 0.000 0.500 1
Re1 Re 0.000 0.500 0.500 1
# Crystal system: orthorhombic
# Magnetic moment, μB per formula unit: 1.9
# Raw formation energy, eV per atom: 1.03
# ρ, g/cm3: 8.2
# Energy relative to the lowest polymorph listed for this composition, meV/atom: 834.9

---

# CrRe2Br | Alexandria | GGA-PBE | relaxed
data_CrRe2Br
_cell_length_a 2.994
_cell_length_b 2.994
_cell_length_c 6.802
_cell_angle_alpha 90.00
_cell_angle_beta 90.00
_cell_angle_gamma 90.00
_symmetry_space_group_name_H-M 'P 1'
_symmetry_Int_Tables_number 1
loop_
_symmetry_equiv_pos_as_xyz
'x,y,z'
loop_
_atom_site_label
_atom_site_type_symbol
_atom_site_fract_x
_atom_site_fract_y
_atom_site_fract_z
_atom_site_occupancy
Br1 Br 0.500 0.500 0.250 1
Cr1 Cr 0.500 0.500 0.750 1
Re1 Re 0.000 0.000 0.963 1
Re2 Re 0.000 0.000 0.537 1
# Crystal system: tetragonal
# Magnetic moment, μB per formula unit: 0.0
# Raw formation energy, eV per atom: 0.77
# ρ, g/cm3: 13.7
# Energy relative to the lowest polymorph listed for this composition, meV/atom: 198.5

---

# CrRe2Br | Alexandria | GGA-PBE | relaxed
data_CrRe2Br
_cell_length_a 9.052
_cell_length_b 9.052
_cell_length_c 9.052
_cell_angle_alpha 18.21
_cell_angle_beta 18.21
_cell_angle_gamma 18.21
_symmetry_space_group_name_H-M 'P 1'
_symmetry_Int_Tables_number 1
loop_
_symmetry_equiv_pos_as_xyz
'x,y,z'
loop_
_atom_site_label
_atom_site_type_symbol
_atom_site_fract_x
_atom_site_fract_y
_atom_site_fract_z
_atom_site_occupancy
Br1 Br 0.486 0.486 0.486 1
Cr1 Cr 0.751 0.751 0.751 1
Re1 Re 0.004 0.004 0.004 1
Re2 Re 0.259 0.259 0.259 1
# Crystal system: trigonal
# Magnetic moment, μB per formula unit: 0.9
# Raw formation energy, eV per atom: 0.57
# ρ, g/cm3: 13.2
# Energy relative to the lowest polymorph listed for this composition, meV/atom: 0.0

---

# CrReBr2 | Alexandria | GGA-PBE | relaxed
data_CrReBr2
_cell_length_a 3.301
_cell_length_b 3.301
_cell_length_c 8.848
_cell_angle_alpha 90.00
_cell_angle_beta 90.00
_cell_angle_gamma 124.02
_symmetry_space_group_name_H-M 'P 1'
_symmetry_Int_Tables_number 1
loop_
_symmetry_equiv_pos_as_xyz
'x,y,z'
loop_
_atom_site_label
_atom_site_type_symbol
_atom_site_fract_x
_atom_site_fract_y
_atom_site_fract_z
_atom_site_occupancy
Br1 Br 0.000 0.000 0.984 1
Br2 Br 0.000 0.000 0.516 1
Cr1 Cr 0.500 0.500 0.250 1
Re1 Re 0.500 0.500 0.750 1
# Crystal system: orthorhombic
# Magnetic moment, μB per formula unit: 4.8
# Raw formation energy, eV per atom: 1.07
# ρ, g/cm3: 8.3
# Energy relative to the lowest polymorph listed for this composition, meV/atom: 878.9

---

# CrRe2Br | Alexandria | GGA-PBE | relaxed
data_CrRe2Br
_cell_length_a 5.284
_cell_length_b 5.284
_cell_length_c 4.329
_cell_angle_alpha 84.21
_cell_angle_beta 84.21
_cell_angle_gamma 32.17
_symmetry_space_group_name_H-M 'P 1'
_symmetry_Int_Tables_number 1
loop_
_symmetry_equiv_pos_as_xyz
'x,y,z'
loop_
_atom_site_label
_atom_site_type_symbol
_atom_site_fract_x
_atom_site_fract_y
_atom_site_fract_z
_atom_site_occupancy
Br1 Br 0.250 0.250 0.250 1
Cr1 Cr 0.750 0.750 0.750 1
Re1 Re 0.039 0.039 0.965 1
Re2 Re 0.461 0.461 0.535 1
# Crystal system: monoclinic
# Magnetic moment, μB per formula unit: 1.5
# Raw formation energy, eV per atom: 0.76
# ρ, g/cm3: 13.1
# Energy relative to the lowest polymorph listed for this composition, meV/atom: 191.5

---

# CrReBr2 | Alexandria | GGA-PBE | relaxed
data_CrReBr2
_cell_length_a 8.548
_cell_length_b 8.548
_cell_length_c 8.548
_cell_angle_alpha 20.90
_cell_angle_beta 20.90
_cell_angle_gamma 20.90
_symmetry_space_group_name_H-M 'P 1'
_symmetry_Int_Tables_number 1
loop_
_symmetry_equiv_pos_as_xyz
'x,y,z'
loop_
_atom_site_label
_atom_site_type_symbol
_atom_site_fract_x
_atom_site_fract_y
_atom_site_fract_z
_atom_site_occupancy
Br1 Br 0.997 0.997 0.997 1
Br2 Br 0.503 0.503 0.503 1
Cr1 Cr 0.250 0.250 0.250 1
Re1 Re 0.750 0.750 0.750 1
# Crystal system: trigonal
# Magnetic moment, μB per formula unit: 2.9
# Raw formation energy, eV per atom: 1.07
# ρ, g/cm3: 9.5
# Energy relative to the lowest polymorph listed for this composition, meV/atom: 881.2

---

# CrReSe2Br | Alexandria | GGA-PBE | relaxed
data_CrReSe2Br
_cell_length_a 4.953
_cell_length_b 4.953
_cell_length_c 4.880
_cell_angle_alpha 90.00
_cell_angle_beta 90.00
_cell_angle_gamma 90.00
_symmetry_space_group_name_H-M 'P 1'
_symmetry_Int_Tables_number 1
loop_
_symmetry_equiv_pos_as_xyz
'x,y,z'
loop_
_atom_site_label
_atom_site_type_symbol
_atom_site_fract_x
_atom_site_fract_y
_atom_site_fract_z
_atom_site_occupancy
Re1 Re 0.500 0.500 0.500 1
Se1 Se 0.000 0.500 0.000 1
Se2 Se 0.500 0.000 0.000 1
Br1 Br 0.000 0.000 0.500 1
Cr1 Cr 0.000 0.000 0.000 1
# Crystal system: tetragonal
# Magnetic moment, μB per formula unit: 8.0
# Raw formation energy, eV per atom: 1.03
# ρ, g/cm3: 6.6
# Energy relative to the lowest polymorph listed for this composition, meV/atom: 0.0

---

# VCr2ReBr | Alexandria | GGA-PBE | relaxed
data_VCr2ReBr
_cell_length_a 4.842
_cell_length_b 4.790
_cell_length_c 4.842
_cell_angle_alpha 90.00
_cell_angle_beta 90.00
_cell_angle_gamma 90.00
_symmetry_space_group_name_H-M 'P 1'
_symmetry_Int_Tables_number 1
loop_
_symmetry_equiv_pos_as_xyz
'x,y,z'
loop_
_atom_site_label
_atom_site_type_symbol
_atom_site_fract_x
_atom_site_fract_y
_atom_site_fract_z
_atom_site_occupancy
Re1 Re 0.000 0.000 0.000 1
V1 V 0.000 0.500 0.000 1
Br1 Br 0.500 0.500 0.500 1
Cr1 Cr 0.000 0.000 0.500 1
Cr2 Cr 0.500 0.000 0.000 1
# Crystal system: tetragonal
# Magnetic moment, μB per formula unit: 9.0
# Raw formation energy, eV per atom: 1.29
# ρ, g/cm3: 6.2

---

# CrRhBr3 | Alexandria | GGA-PBE | relaxed
data_CrRhBr3
_cell_length_a 5.076
_cell_length_b 5.076
_cell_length_c 5.076
_cell_angle_alpha 90.00
_cell_angle_beta 90.00
_cell_angle_gamma 90.00
_symmetry_space_group_name_H-M 'P 1'
_symmetry_Int_Tables_number 1
loop_
_symmetry_equiv_pos_as_xyz
'x,y,z'
loop_
_atom_site_label
_atom_site_type_symbol
_atom_site_fract_x
_atom_site_fract_y
_atom_site_fract_z
_atom_site_occupancy
Cr1 Cr 0.500 0.500 0.500 1
Rh1 Rh 0.000 0.000 0.000 1
Br1 Br 0.000 0.500 0.000 1
Br2 Br 0.000 0.000 0.500 1
Br3 Br 0.500 0.000 0.000 1
# Crystal system: cubic
# Magnetic moment, μB per formula unit: 4.6
# Raw formation energy, eV per atom: 0.25
# ρ, g/cm3: 5.0
# Energy relative to the lowest polymorph listed for this composition, meV/atom: 0.0

---

# CrRhBr | Alexandria | GGA-PBE | relaxed
data_CrRhBr
_cell_length_a 4.354
_cell_length_b 4.354
_cell_length_c 4.354
_cell_angle_alpha 60.00
_cell_angle_beta 60.00
_cell_angle_gamma 60.00
_symmetry_space_group_name_H-M 'P 1'
_symmetry_Int_Tables_number 1
loop_
_symmetry_equiv_pos_as_xyz
'x,y,z'
loop_
_atom_site_label
_atom_site_type_symbol
_atom_site_fract_x
_atom_site_fract_y
_atom_site_fract_z
_atom_site_occupancy
Br1 Br 0.000 0.000 0.000 1
Cr1 Cr 0.500 0.500 0.500 1
Rh1 Rh 0.250 0.250 0.250 1
# Crystal system: cubic
# Magnetic moment, μB per formula unit: 3.7
# Raw formation energy, eV per atom: 0.57
# ρ, g/cm3: 6.7
# Energy relative to the lowest polymorph listed for this composition, meV/atom: 304.8

---

# CrRh4Br | Alexandria | GGA-PBE | relaxed
data_CrRh4Br
_cell_length_a 5.213
_cell_length_b 5.213
_cell_length_c 5.213
_cell_angle_alpha 60.00
_cell_angle_beta 60.00
_cell_angle_gamma 60.00
_symmetry_space_group_name_H-M 'P 1'
_symmetry_Int_Tables_number 1
loop_
_symmetry_equiv_pos_as_xyz
'x,y,z'
loop_
_atom_site_label
_atom_site_type_symbol
_atom_site_fract_x
_atom_site_fract_y
_atom_site_fract_z
_atom_site_occupancy
Cr1 Cr 0.000 0.000 0.000 1
Rh1 Rh 0.876 0.375 0.375 1
Rh2 Rh 0.375 0.375 0.876 1
Rh3 Rh 0.375 0.876 0.375 1
Rh4 Rh 0.375 0.375 0.375 1
Br1 Br 0.750 0.750 0.750 1
# Crystal system: cubic
# Magnetic moment, μB per formula unit: 1.5
# Raw formation energy, eV per atom: 0.67
# ρ, g/cm3: 9.0